# 1
# PBE-GGA SmPu3Se4, optimized geometry
data_SmPu3Se4
_chemical_formula_sum 'Sm1 Pu3 Se4'
_cell_length_a 4.156
_cell_length_b 7.196
_cell_length_c 7.196
_cell_angle_alpha 109.46
_cell_angle_beta 90.00
_cell_angle_gamma 90.00
_space_group_name_H-M_alt 'P 1'
_space_group_IT_number 1
_space_group_name_Hall 'P 1'
loop_
_atom_site_label
_atom_site_fract_x
_atom_site_fract_y
_atom_site_fract_z
_atom_site_occupancy
Sm1 0.500 0.000 0.000 1
Pu1 0.500 0.500 0.500 1
Pu2 0.000 0.000 0.500 1
Pu3 0.000 0.500 0.000 1
Se1 0.500 0.749 0.251 1
Se2 0.500 0.251 0.749 1
Se3 0.000 0.253 0.253 1
Se4 0.000 0.747 0.747 1
# * energy above the most stable polymorph in this dataset: 0 meV per atom
# * space group: Cmmm (65)
# * ΔE_f (raw): -1.615 eV per atom


# 2
# PBE-GGA Ho6Cd3Rh, optimized geometry
data_Ho6Cd3Rh
_chemical_formula_sum 'Ho12 Cd6 Rh2'
_cell_length_a 5.264
_cell_length_b 9.053
_cell_length_c 11.362
_cell_angle_alpha 108.49
_cell_angle_beta 90.00
_cell_angle_gamma 90.00
_space_group_name_H-M_alt 'P 1'
_space_group_IT_number 1
_space_group_name_Hall 'P 1'
loop_
_atom_site_label
_atom_site_fract_x
_atom_site_fract_y
_atom_site_fract_z
_atom_site_occupancy
Ho1 0.250 0.108 0.853 1
Ho2 0.750 0.314 0.335 1
Ho3 0.250 0.125 0.153 1
Ho4 0.250 0.686 0.665 1
Ho5 0.750 0.151 0.670 1
Ho6 0.250 0.465 0.085 1
Ho7 0.750 0.875 0.847 1
Ho8 0.750 0.535 0.915 1
Ho9 0.250 0.223 0.498 1
Ho10 0.250 0.849 0.330 1
Ho11 0.750 0.892 0.147 1
Ho12 0.750 0.777 0.502 1
Rh1 0.750 0.041 0.406 1
Rh2 0.250 0.959 0.594 1
Cd1 0.250 0.510 0.371 1
Cd2 0.250 0.414 0.782 1
Cd3 0.750 0.229 0.025 1
Cd4 0.750 0.490 0.629 1
Cd5 0.750 0.586 0.218 1
Cd6 0.250 0.771 0.975 1
# * space group: P2_1/m (11)
# * formation energy: -0.3439 eV per atom


# 3
# PBE-GGA MgZrP, optimized geometry
data_MgZrP
_chemical_formula_sum 'Mg1 Zr1 P1'
_cell_length_a 6.154
_cell_length_b 5.948
_cell_length_c 3.300
_cell_angle_alpha 77.65
_cell_angle_beta 70.77
_cell_angle_gamma 31.58
_space_group_name_H-M_alt 'P 1'
_space_group_IT_number 1
_space_group_name_Hall 'P 1'
loop_
_atom_site_label
_atom_site_fract_x
_atom_site_fract_y
_atom_site_fract_z
_atom_site_occupancy
Mg1 0.982 0.982 0.018 1
P1 0.326 0.326 0.674 1
Zr1 0.691 0.691 0.309 1
# * energy above the most stable polymorph in this dataset: 68 meV per atom
# * space group: Fmm2 (42)
# * formation energy: -0.4413 eV per atom